Compound: Na2CaInAs2
Source: the Alexandria database
Functional: PBE-GGA
Structure: optimized geometry

Cell: 4.336 8.772 8.086 Å, 90.00 90.00 90.00°
Space group Pmc2_1 (No. 26)
Symmetry-distinct sites (fractional):
1 Na 0.000 0.088 0.000 [2 per cell]
2 Na 0.500 0.182 0.314 [2 per cell]
3 Ca 0.500 0.437 0.923 [2 per cell]
4 In 0.000 0.298 0.594 [2 per cell]
5 As 0.000 0.404 0.201 [2 per cell]
6 As 0.500 0.142 0.721 [2 per cell]

Properties
**Raw total energy**: -3.36 eV/atom
**Size of the total moment**: 0.000 μB/cell
**Calculated density**: 3.8 g/cm³

---

Compound: Ca2InNi4As3
Source: the Alexandria database
Functional: PBE-GGA
Structure: optimized geometry

Cell: 4.134 4.134 10.135 Å, 90.00 90.00 90.00°
Space group P-4m2 (No. 115)
Symmetry-distinct sites (fractional):
1 Ca 0.000 0.500 0.235 [2 per cell]
2 In 0.000 0.000 0.500 [1 per cell]
3 Ni 0.000 0.000 0.000 [1 per cell]
4 Ni 0.000 0.500 0.646 [2 per cell]
5 Ni 0.500 0.500 0.000 [1 per cell]
6 As 0.000 0.500 0.875 [2 per cell]
7 As 0.500 0.500 0.500 [1 per cell]

Properties
**Raw total energy**: -4.95 eV/atom
**Size of the total moment**: 0.000 μB/cell
**Calculated density**: 6.3 g/cm³

---

Compound: Ca2InNi3As4
Source: the Alexandria database
Functional: PBE-GGA
Structure: optimized geometry

Cell: 4.226 4.226 10.342 Å, 90.00 90.00 90.00°
Space group P-4m2 (No. 115)
Symmetry-distinct sites (fractional):
1 Ca 0.000 0.500 0.228 [2 per cell]
2 In 0.000 0.000 0.500 [1 per cell]
3 Ni 0.000 0.500 0.888 [2 per cell]
4 Ni 0.500 0.500 0.500 [1 per cell]
5 As 0.000 0.000 0.000 [1 per cell]
6 As 0.000 0.500 0.661 [2 per cell]
7 As 0.500 0.500 0.000 [1 per cell]

Properties
**Raw total energy**: -4.81 eV/atom
**Size of the total moment**: 0.000 μB/cell
**Calculated density**: 6.0 g/cm³

---

Compound: CaInNi2As
Source: the Alexandria database
Functional: PBE-GGA
Structure: optimized geometry

Cell: 4.513 4.513 5.314 Å, 90.00 90.00 90.00°
Space group P4/mmm (No. 123)
Symmetry-distinct sites (fractional):
1 Ca 0.000 0.000 0.000 [1 per cell]
2 In 0.500 0.500 0.000 [1 per cell]
3 Ni 0.000 0.500 0.500 [2 per cell]
4 As 0.500 0.500 0.500 [1 per cell]

Properties
**Raw total energy**: -4.12 eV/atom
**Size of the total moment**: 0.000 μB/cell
**Calculated density**: 5.3 g/cm³

---

Compound: CaInAs2O8
Source: the Alexandria database
Functional: PBE-GGA
Structure: optimized geometry

Cell: 7.189 7.189 6.299 Å, 90.00 90.00 90.00°
Space group I-4m2 (No. 119)
Symmetry-distinct sites (fractional):
1 Ca 0.000 0.000 0.000 [2 per cell]
2 In 0.000 0.500 0.250 [2 per cell]
3 As 0.000 0.000 0.500 [2 per cell]
4 As 0.000 0.500 0.750 [2 per cell]
5 O 0.000 0.186 0.327 [8 per cell]
6 O 0.000 0.322 0.933 [8 per cell]

Properties
**Energy relative to the elements, uncorrected**: -1.49 eV/atom
**Raw total energy**: -5.96 eV/atom
**Size of the total moment**: 2.203 μB/cell
**Calculated density**: 4.4 g/cm³

---

Compound: Ca2In2AsP2
Source: the Alexandria database
Functional: PBE-GGA
Structure: optimized geometry

Cell: 3.978 6.793 7.459 Å, 115.26 103.72 91.00°
Space group P-1 (No. 2)
Symmetry-distinct sites (fractional):
1 Ca 0.123 0.364 0.243 [2 per cell]
2 In 0.149 0.903 0.274 [2 per cell]
3 As 0.500 0.000 0.000 [1 per cell]
4 P 0.302 0.288 0.611 [2 per cell]

Properties
**Raw total energy**: -4.15 eV/atom
**Size of the total moment**: 0.000 μB/cell
**Calculated density**: 4.2 g/cm³

---

Compound: Ca3InAs2Pd9
Source: the Alexandria database
Functional: PBE-GGA
Structure: optimized geometry

Cell: 6.1749 6.1749 10.2957 Å, 90.00 90.00 120.00°
Space group P-3m1 (No. 164)
Symmetry-distinct sites (fractional):
1 Ca 0.0000 0.0000 0.0000 [1 per cell]
2 Ca 0.3333 0.6667 0.7369 [2 per cell]
3 In 0.0000 0.0000 0.5000 [1 per cell]
4 As 0.3333 0.6667 0.1618 [2 per cell]
5 Pd 0.0000 0.5000 0.0000 [3 per cell]
6 Pd 0.1460 0.2921 0.2839 [6 per cell]

Properties
**Raw total energy**: -4.84 eV/atom
**Size of the total moment**: 0.000 μB/cell
**Calculated density**: 6.6 g/cm³

---

Compound: Ca2InAs3Pt4
Source: the Alexandria database
Functional: PBE-GGA
Structure: optimized geometry

Cell: 4.350 4.350 10.731 Å, 90.00 90.00 90.00°
Space group P-4m2 (No. 115)
Symmetry-distinct sites (fractional):
1 Ca 0.000 0.500 0.235 [2 per cell]
2 In 0.000 0.000 0.500 [1 per cell]
3 As 0.000 0.500 0.873 [2 per cell]
4 As 0.500 0.500 0.500 [1 per cell]
5 Pt 0.000 0.000 0.000 [1 per cell]
6 Pt 0.000 0.500 0.647 [2 per cell]
7 Pt 0.500 0.500 0.000 [1 per cell]

Properties
**Raw total energy**: -5.19 eV/atom
**Size of the total moment**: 0.000 μB/cell
**Calculated density**: 9.8 g/cm³

---

Compound: Ca2InAs2Rh5
Source: the Alexandria database
Functional: PBE-GGA
Structure: optimized geometry

Cell: 9.932 9.932 3.573 Å, 90.00 90.00 90.00°
Space group P4/mbm (No. 127)
Symmetry-distinct sites (fractional):
1 Ca 0.173 0.327 0.000 [4 per cell]
2 In 0.000 0.000 0.000 [2 per cell]
3 As 0.125 0.625 0.000 [4 per cell]
4 Rh 0.000 0.500 0.500 [2 per cell]
5 Rh 0.069 0.787 0.500 [8 per cell]

Properties
**Raw total energy**: -5.93 eV/atom
**Size of the total moment**: 0.000 μB/cell
**Calculated density**: 8.1 g/cm³

---

Compound: Ca2InAsRu
Source: the Alexandria database
Functional: PBE-GGA
Structure: optimized geometry

Cell: 5.685 5.685 4.884 Å, 90.00 90.00 90.00°
Space group P4/mmm (No. 123)
Symmetry-distinct sites (fractional):
1 Ca 0.000 0.500 0.000 [2 per cell]
2 In 0.000 0.000 0.000 [1 per cell]
3 As 0.500 0.500 0.500 [1 per cell]
4 Ru 0.000 0.000 0.500 [1 per cell]

Properties
**Raw total energy**: -3.54 eV/atom
**Size of the total moment**: 0.747 μB/cell
**Calculated density**: 3.9 g/cm³

---

Compound: CaInSiAs2
Source: the Alexandria database
Functional: PBE-GGA
Structure: optimized geometry

Cell: 5.338 5.338 4.992 Å, 90.00 90.00 90.00°
Space group P4/mmm (No. 123)
Symmetry-distinct sites (fractional):
1 Ca 0.000 0.000 0.000 [1 per cell]
2 In 0.500 0.500 0.500 [1 per cell]
3 Si 0.500 0.500 0.000 [1 per cell]
4 As 0.000 0.500 0.500 [2 per cell]

Properties
**Energy relative to the elements, uncorrected**: 0.42 eV/atom
**Raw total energy**: -3.47 eV/atom
**Size of the total moment**: 0.000 μB/cell
**Calculated density**: 3.9 g/cm³

---

Compound: Sr2CaIn2As4
Source: the Alexandria database
Functional: PBE-GGA
Structure: optimized geometry

Cell: 16.276 4.284 7.527 Å, 90.00 107.46 90.00°
Space group C2/m (No. 12)
Symmetry-distinct sites (fractional):
1 Sr 0.123 0.000 0.050 [4 per cell]
2 Ca 0.000 0.000 0.500 [2 per cell]
3 In 0.166 0.500 0.499 [4 per cell]
4 As 0.020 0.500 0.226 [4 per cell]
5 As 0.217 0.000 0.727 [4 per cell]

Properties
**Raw total energy**: -4.07 eV/atom
**Size of the total moment**: 0.000 μB/cell
**Calculated density**: 4.9 g/cm³

---

Compound: Ca2TaInAs
Source: the Alexandria database
Functional: PBE-GGA
Structure: optimized geometry

Cell: 5.772 5.772 4.946 Å, 90.00 90.00 90.00°
Space group P4/mmm (No. 123)
Symmetry-distinct sites (fractional):
1 Ca 0.000 0.500 0.000 [2 per cell]
2 Ta 0.000 0.000 0.000 [1 per cell]
3 In 0.500 0.500 0.500 [1 per cell]
4 As 0.000 0.000 0.500 [1 per cell]

Properties
**Raw total energy**: -4.21 eV/atom
**Size of the total moment**: 0.000 μB/cell
**Calculated density**: 4.5 g/cm³

---

Compound: Ca3U3InAs8
Source: the Alexandria database
Functional: PBE-GGA
Structure: optimized geometry

Cell: 8.154 8.174 8.372 Å, 60.84 90.00 60.09°
Space group P-1 (No. 2)
Symmetry-distinct sites (fractional):
1 Ca 0.000 0.000 0.000 [1 per cell]
2 Ca 0.000 0.500 0.000 [1 per cell]
3 Ca 0.500 0.000 0.000 [1 per cell]
4 U 0.000 0.000 0.500 [1 per cell]
5 U 0.500 0.000 0.500 [1 per cell]
6 U 0.500 0.500 0.500 [1 per cell]
7 In 0.000 0.500 0.500 [1 per cell]
8 As 0.255 0.518 0.735 [2 per cell]
9 As 0.255 0.992 0.736 [2 per cell]
10 As 0.256 0.988 0.267 [2 per cell]
11 As 0.272 0.481 0.266 [2 per cell]

Properties
**Raw total energy**: -6.02 eV/atom
**Size of the total moment**: 3.287 μB/cell
**Calculated density**: 6.4 g/cm³

---

Compound: CaZrIn2As
Source: the Alexandria database
Functional: PBE-GGA
Structure: optimized geometry

Cell: 5.556 5.556 5.216 Å, 90.00 90.00 90.00°
Space group P4/mmm (No. 123)
Symmetry-distinct sites (fractional):
1 Ca 0.000 0.000 0.000 [1 per cell]
2 Zr 0.000 0.000 0.500 [1 per cell]
3 In 0.000 0.500 0.000 [2 per cell]
4 As 0.500 0.500 0.500 [1 per cell]

Properties
**Raw total energy**: -2.90 eV/atom
**Size of the total moment**: 0.874 μB/cell
**Calculated density**: 4.5 g/cm³

---

Compound: CaAsIr3
Source: the Alexandria database
Functional: PBE-GGA
Structure: optimized geometry

Cell: 4.789 4.789 4.789 Å, 90.00 90.00 90.00°
Space group Pm-3m (No. 221)
Symmetry-distinct sites (fractional):
1 Ca 0.000 0.000 0.000 [1 per cell]
2 As 0.500 0.500 0.500 [1 per cell]
3 Ir 0.000 0.000 0.500 [3 per cell]

Properties
**Polymorph energy (0 for the lowest one)**: 2014 meV/atom
**Raw total energy**: -4.31 eV/atom
**Size of the total moment**: 1.591 μB/cell
**Calculated density**: 10.5 g/cm³

---

Compound: Ca2AsIr
Source: the Alexandria database
Functional: PBE-GGA
Structure: optimized geometry

Cell: 4.608 4.608 7.941 Å, 90.00 90.00 90.00°
Space group I4/mmm (No. 139)
Symmetry-distinct sites (fractional):
1 Ca 0.000 0.500 0.250 [4 per cell]
2 As 0.000 0.000 0.000 [2 per cell]
3 Ir 0.000 0.000 0.500 [2 per cell]

Properties
**Raw total energy**: -4.86 eV/atom
**Size of the total moment**: 0.000 μB/cell
**Calculated density**: 6.8 g/cm³

---

Compound: Ca3As4Ir2
Source: the Alexandria database
Functional: PBE-GGA
Structure: optimized geometry

Cell: 11.273 4.315 8.611 Å, 90.00 112.40 90.00°
Space group C2/m (No. 12)
Symmetry-distinct sites (fractional):
1 Ca 0.000 0.000 0.000 [2 per cell]
2 Ca 0.125 0.500 0.710 [4 per cell]
3 As 0.092 0.000 0.390 [4 per cell]
4 As 0.202 0.500 0.093 [4 per cell]
5 Ir 0.192 0.500 0.378 [4 per cell]

Properties
**Raw total energy**: -5.47 eV/atom
**Size of the total moment**: 0.000 μB/cell
**Calculated density**: 6.9 g/cm³

---

Compound: CaAs2Ir2
Source: the Alexandria database
Functional: PBE-GGA
Structure: optimized geometry

Cell: 9.602 4.100 10.104 Å, 90.00 90.00 90.00°
Space group Pnma (No. 62)
Symmetry-distinct sites (fractional):
1 Ca 0.249 0.250 0.151 [4 per cell]
2 As 0.038 0.250 0.829 [4 per cell]
3 As 0.161 0.250 0.431 [4 per cell]
4 Ir 0.025 0.750 0.401 [4 per cell]
5 Ir 0.090 0.750 0.956 [4 per cell]

Properties
**Raw total energy**: -6.41 eV/atom
**Size of the total moment**: 0.000 μB/cell
**Calculated density**: 9.6 g/cm³

---

Compound: CaAsIr2
Source: the Alexandria database
Functional: PBE-GGA
Structure: optimized geometry

Cell: 2.938 4.453 5.412 Å, 90.00 100.61 90.00°
Space group P2/m (No. 10)
Symmetry-distinct sites (fractional):
1 Ca 0.000 0.000 0.000 [1 per cell]
2 As 0.500 0.000 0.500 [1 per cell]
3 Ir 0.361 0.500 0.722 [2 per cell]

Properties
**Raw total energy**: -6.15 eV/atom
**Size of the total moment**: 0.000 μB/cell
**Calculated density**: 11.9 g/cm³

---

Compound: Ca2AsIr
Source: the Alexandria database
Functional: PBE-GGA
Structure: optimized geometry

Cell: 7.887 7.887 5.844 Å, 90.00 90.00 90.00°
Space group I-42d (No. 122)
Symmetry-distinct sites (fractional):
1 Ca 0.227 0.250 0.125 [8 per cell]
2 As 0.000 0.000 0.500 [4 per cell]
3 Ir 0.000 0.000 0.000 [4 per cell]

Properties
**Raw total energy**: -4.54 eV/atom
**Size of the total moment**: 0.000 μB/cell
**Calculated density**: 6.3 g/cm³

---

Compound: CaAsIr2
Source: the Alexandria database
Functional: PBE-GGA
Structure: optimized geometry

Cell: 2.988 4.781 4.805 Å, 90.00 90.00 90.00°
Space group Pmmm (No. 47)
Symmetry-distinct sites (fractional):
1 Ca 0.000 0.000 0.000 [1 per cell]
2 As 0.500 0.000 0.500 [1 per cell]
3 Ir 0.000 0.500 0.500 [1 per cell]
4 Ir 0.500 0.500 0.000 [1 per cell]

Properties
**Raw total energy**: -6.02 eV/atom
**Size of the total moment**: 0.000 μB/cell
**Calculated density**: 12.1 g/cm³

---

Compound: CaAsIr2
Source: the Alexandria database
Functional: PBE-GGA
Structure: optimized geometry

Cell: 3.106 3.106 7.445 Å, 90.00 90.00 90.00°
Space group P4mm (No. 99)
Symmetry-distinct sites (fractional):
1 Ca 0.000 0.000 0.000 [1 per cell]
2 As 0.500 0.500 0.681 [1 per cell]
3 Ir 0.000 0.000 0.505 [1 per cell]
4 Ir 0.500 0.500 0.269 [1 per cell]

Properties
**Raw total energy**: -6.17 eV/atom
**Size of the total moment**: 0.000 μB/cell
**Calculated density**: 11.5 g/cm³

---

Compound: Ca2AsIr
Source: the Alexandria database
Functional: PBE-GGA
Structure: optimized geometry

Cell: 3.142 5.041 5.916 Å, 90.00 90.00 90.00°
Space group Pmm2 (No. 25)
Symmetry-distinct sites (fractional):
1 Ca 0.000 0.000 0.000 [1 per cell]
2 Ca 0.500 0.500 0.492 [1 per cell]
3 As 0.500 0.500 0.992 [1 per cell]
4 Ir 0.000 0.000 0.499 [1 per cell]

Properties
**Raw total energy**: -4.60 eV/atom
**Size of the total moment**: 0.667 μB/cell
**Calculated density**: 6.2 g/cm³